{"formula": "Ca12SnPb4N3", "functional": "PBE-GGA", "state": "optimized geometry", "total_energy_ev_per_cell": -80.500, "space_group": "No. 229", "cell": [[8.941, 0.000, 0.000], [-2.980, 8.430, 0.000], [-2.980, -4.215, 7.301]], "species": ["Ca", "Ca", "Ca", "Ca", "Ca", "Ca", "Ca", "Ca", "Ca", "Ca", "Ca", "Ca", "Sn", "Pb", "Pb", "Pb", "Pb", "N", "N", "N"], "fractional_positions": [[0.250, 0.500, 0.750], [0.717, 0.000, 0.717], [0.283, 0.000, 0.283], [0.750, 0.500, 0.250], [0.717, 0.717, 0.000], [0.283, 0.283, 0.000], [0.750, 0.250, 0.500], [0.250, 0.750, 0.500], [0.500, 0.250, 0.750], [0.000, 0.717, 0.717], [0.500, 0.750, 0.250], [0.000, 0.283, 0.283], [0.000, 0.000, 0.000], [0.500, 0.500, 0.500], [0.000, 0.000, 0.500], [0.500, 0.000, 0.000], [0.000, 0.500, 0.000], [0.500, 0.000, 0.500], [0.500, 0.500, 0.000], [0.000, 0.500, 0.500]]}